Entry 1:
# KTl2Ru

A geometry-optimized KTl2Ru structure (GGA-PBE, the Alexandria database).

Unit cell a=8.441 b=8.441 c=4.455 alpha=105.29 beta=105.29 gamma=22.32
Fractional coordinates of all 4 atoms:
K1 0.000 0.000 0.000
Tl1 0.659 0.659 0.658
Tl2 0.820 0.820 0.318
Ru1 0.303 0.303 0.801

Properties
crystal system = monoclinic
E_tot = -3.48 eV per atom
magnetic moment = 0.00 Bohr magnetons per cell

***

Entry 2:
# LaGe2IrRh

A geometry-optimized LaGe2IrRh structure (GGA-PBE, the Alexandria database).

Unit cell a=6.107 b=6.107 c=6.107 alpha=139.58 beta=139.58 gamma=58.49
Fractional coordinates of all 5 atoms:
La1 0.000 0.000 0.000
Ge1 0.374 0.374 0.000
Ge2 0.626 0.626 0.000
Ir1 0.250 0.750 0.500
Rh1 0.750 0.250 0.500

Properties
crystal system = tetragonal
E_tot = -6.93 eV per atom
magnetic moment = 0.00 Bohr magnetons per cell

***

Entry 3:
# RbScPt3

A geometry-optimized RbScPt3 structure (GGA-PBE, the Alexandria database).

Unit cell a=5.041 b=5.041 c=5.041 alpha=90.00 beta=90.00 gamma=90.00
Fractional coordinates of all 5 atoms:
Rb1 0.000 0.000 0.000
Sc1 0.500 0.500 0.500
Pt1 0.000 0.000 0.500
Pt2 0.000 0.500 0.000
Pt3 0.500 0.000 0.000

Properties
crystal system = cubic
magnetic moment = 0.00 Bohr magnetons per cell
relative energy among the computed polymorphs = 1464 meV/atom

***

Entry 4:
# La3PrPu2Se6

A geometry-optimized La3PrPu2Se6 structure (GGA-PBE, the Alexandria database).

Unit cell a=7.353 b=7.353 c=7.388 alpha=99.54 beta=99.54 gamma=120.02
Fractional coordinates of all 12 atoms:
La1 0.000 0.000 0.000
La2 0.335 0.665 0.000
La3 0.665 0.335 0.000
Pr1 0.500 0.500 0.500
Pu1 0.167 0.833 0.500
Pu2 0.833 0.167 0.500
Se1 0.080 0.419 0.258
Se2 0.240 0.240 0.740
Se3 0.419 0.080 0.258
Se4 0.581 0.920 0.742
Se5 0.760 0.760 0.260
Se6 0.920 0.581 0.742

Properties
formation energy (no corrections) = -21.88 eV per formula unit
crystal system = monoclinic
magnetic moment = 11.69 Bohr magnetons per cell

***

Copy entry 4 word for word.
# La3PrPu2Se6

A geometry-optimized La3PrPu2Se6 structure (GGA-PBE, the Alexandria database).

Unit cell a=7.353 b=7.353 c=7.388 alpha=99.54 beta=99.54 gamma=120.02
Fractional coordinates of all 12 atoms:
La1 0.000 0.000 0.000
La2 0.335 0.665 0.000
La3 0.665 0.335 0.000
Pr1 0.500 0.500 0.500
Pu1 0.167 0.833 0.500
Pu2 0.833 0.167 0.500
Se1 0.080 0.419 0.258
Se2 0.240 0.240 0.740
Se3 0.419 0.080 0.258
Se4 0.581 0.920 0.742
Se5 0.760 0.760 0.260
Se6 0.920 0.581 0.742

Properties
formation energy (no corrections) = -21.88 eV per formula unit
crystal system = monoclinic
magnetic moment = 11.69 Bohr magnetons per cell

***

- What is the magnetic moment in the fourth record?
  11.69 Bohr magnetons per cell

***

- Which formula does entry 4 have?
  La3PrPu2Se6